Entry 1:
# GGA-PBE YSO4F2, relaxed
data_YSO4F2
_symmetry_space_group_name_H-M 'P m n 21'
_symmetry_Int_Tables_number 31
_symmetry_space_group_name_Hall 'P 2ac -2'
_cell_length_a 5.753
_cell_length_b 7.405
_cell_length_c 5.322
_cell_angle_alpha 90.00
_cell_angle_beta 90.00
_cell_angle_gamma 90.00
loop_
_atom_site_label
_atom_site_type_symbol
_atom_site_fract_x
_atom_site_fract_y
_atom_site_fract_z
Y1 Y 0.000 0.122 0.000
S1 S 0.000 0.577 0.631
O1 O 0.000 0.404 0.762
O2 O 0.000 0.552 0.355
O3 O 0.208 0.687 0.702
F1 F 0.242 0.946 0.213
# Energy ... -6.538 eV/atom
# D(E_F) ... 0.35 states/eV/atom



Entry 2:
# GGA-PBE YSOF2, relaxed
data_YSOF2
_symmetry_space_group_name_H-M 'P 4/m m m'
_symmetry_Int_Tables_number 123
_symmetry_space_group_name_Hall '-P 4 2'
_cell_length_a 4.821
_cell_length_b 4.821
_cell_length_c 3.432
_cell_angle_alpha 90.00
_cell_angle_beta 90.00
_cell_angle_gamma 90.00
loop_
_atom_site_label
_atom_site_type_symbol
_atom_site_fract_x
_atom_site_fract_y
_atom_site_fract_z
Y1 Y 0.000 0.000 0.000
S1 S 0.500 0.500 0.500
O1 O 0.500 0.500 0.000
F1 F 0.000 0.500 0.500
# D(E_F) ... 0.25 states/eV/atom
# E above lowest polymorph ... 856 meV per atom



Entry 3:
# GGA-PBE YS2O6F2, relaxed
data_YS2O6F2
_symmetry_space_group_name_H-M 'P -3 m 1'
_symmetry_Int_Tables_number 164
_symmetry_space_group_name_Hall '-P 3 2"'
_cell_length_a 5.9351
_cell_length_b 5.9351
_cell_length_c 5.4607
_cell_angle_alpha 90.00
_cell_angle_beta 90.00
_cell_angle_gamma 120.00
loop_
_atom_site_label
_atom_site_type_symbol
_atom_site_fract_x
_atom_site_fract_y
_atom_site_fract_z
Y1 Y 0.0000 0.0000 0.0000
S1 S 0.3333 0.6667 0.7464
O1 O 0.1906 0.3813 0.7844
F1 F 0.3333 0.6667 0.4507
# Energy ... -6.144 eV/atom
# D(E_F) ... 0.25 states/eV/atom



Entry 4:
# GGA-PBE ZnSO2F, relaxed
data_ZnSO2F
_symmetry_space_group_name_H-M 'P 4/m m m'
_symmetry_Int_Tables_number 123
_symmetry_space_group_name_Hall '-P 4 2'
_cell_length_a 3.941
_cell_length_b 3.941
_cell_length_c 3.827
_cell_angle_alpha 90.00
_cell_angle_beta 90.00
_cell_angle_gamma 90.00
loop_
_atom_site_label
_atom_site_type_symbol
_atom_site_fract_x
_atom_site_fract_y
_atom_site_fract_z
Zn1 Zn 0.000 0.000 0.000
S1 S 0.500 0.500 0.500
O1 O 0.000 0.500 0.000
F1 F 0.000 0.000 0.500
# Energy ... -3.410 eV/atom
# D(E_F) ... 0.81 states/eV/atom



Entry 5:
# GGA-PBE ZnSO4F, relaxed
data_ZnSO4F
_symmetry_space_group_name_H-M 'P 1 21/m 1'
_symmetry_Int_Tables_number 11
_symmetry_space_group_name_Hall '-P 2yb'
_cell_length_a 3.997
_cell_length_b 6.649
_cell_length_c 6.639
_cell_angle_alpha 90.00
_cell_angle_beta 90.28
_cell_angle_gamma 90.00
loop_
_atom_site_label
_atom_site_type_symbol
_atom_site_fract_x
_atom_site_fract_y
_atom_site_fract_z
Zn1 Zn 0.187 0.250 0.252
S1 S 0.000 0.250 0.751
O1 O 0.217 0.250 0.571
O2 O 0.217 0.569 0.249
O3 O 0.218 0.250 0.932
F1 F 0.308 0.750 0.747
# Energy ... -5.150 eV/atom
# D(E_F) ... 0.55 states/eV/atom



Entry 6:
# GGA-PBE ZnSO2F, relaxed
data_ZnSO2F
_symmetry_space_group_name_H-M 'P 4/m m m'
_symmetry_Int_Tables_number 123
_symmetry_space_group_name_Hall '-P 4 2'
_cell_length_a 3.454
_cell_length_b 3.454
_cell_length_c 5.953
_cell_angle_alpha 90.00
_cell_angle_beta 90.00
_cell_angle_gamma 90.00
loop_
_atom_site_label
_atom_site_type_symbol
_atom_site_fract_x
_atom_site_fract_y
_atom_site_fract_z
Zn1 Zn 0.000 0.000 0.000
S1 S 0.500 0.500 0.500
O1 O 0.000 0.500 0.500
F1 F 0.500 0.500 0.000
# Energy ... -3.747 eV/atom
# D(E_F) ... 0.22 states/eV/atom



Entry 7:
# GGA-PBE ZrS2O6F2, relaxed
data_ZrS2O6F2
_symmetry_space_group_name_H-M 'P -3 m 1'
_symmetry_Int_Tables_number 164
_symmetry_space_group_name_Hall '-P 3 2"'
_cell_length_a 5.7247
_cell_length_b 5.7247
_cell_length_c 5.6406
_cell_angle_alpha 90.00
_cell_angle_beta 90.00
_cell_angle_gamma 120.00
loop_
_atom_site_label
_atom_site_type_symbol
_atom_site_fract_x
_atom_site_fract_y
_atom_site_fract_z
Zr1 Zr 0.0000 0.0000 0.0000
S1 S 0.3333 0.6667 0.7801
O1 O 0.1774 0.3549 0.7898
F1 F 0.3333 0.6667 0.4917
# Energy ... -6.120 eV/atom
# D(E_F) ... 0.23 states/eV/atom



Entry 8:
# GGA-PBE ZrS2O8F, relaxed
data_ZrS2O8F
_symmetry_space_group_name_H-M 'P -3 m 1'
_symmetry_Int_Tables_number 164
_symmetry_space_group_name_Hall '-P 3 2"'
_cell_length_a 5.9804
_cell_length_b 5.9804
_cell_length_c 4.5336
_cell_angle_alpha 90.00
_cell_angle_beta 90.00
_cell_angle_gamma 120.00
loop_
_atom_site_label
_atom_site_type_symbol
_atom_site_fract_x
_atom_site_fract_y
_atom_site_fract_z
Zr1 Zr 0.0000 0.0000 0.0000
S1 S 0.3333 0.6667 0.2804
O1 O 0.1993 0.3987 0.1642
O2 O 0.3333 0.6667 0.5990
F1 F 0.0000 0.0000 0.5000
# Energy ... -6.538 eV/atom
# D(E_F) ... 0.67 states/eV/atom